No. 1
A plane-wave DFT calculation with GGA-PBE was carried out for RbGaPO2 after structural relaxation.

energy above the lowest structure with this stoichiometry: 1296 meV/atom
space group: P4/mmm
calculated volume: 25.3 Å³ per atom
E_form (uncorrected): 1.101 eV per atom
D(E_F): 0.597 states/eV/atom
total magnetic moment: 1.988 μB/f.u.

Cell: 4.3489 4.3489 6.6853 Å, 90.00 90.00 90.00°
Site moments in Bohr magnetons follow the coordinates.
Element x y z (fractional)
1 O 0.0000 0.5000 0.0000  0.40
2 O 0.5000 0.0000 0.0000  0.40
3 P 0.0000 0.0000 0.5000  0.43
4 Ga 0.5000 0.5000 0.5000  -0.02
5 Rb 0.0000 0.0000 0.0000  0.03


No. 2
A plane-wave DFT calculation with GGA-PBE was carried out for RbGa2P5O16 after structural relaxation.

space group: Pc
calculated volume: 14.0 Å³ per atom
E_form (uncorrected): -2.145 eV per atom
D(E_F): 0.000 states/eV/atom
total magnetic moment: 0.000 μB/f.u.

Cell: 9.3584 7.4983 10.3279 Å, 68.28 90.00 90.00°
Element x y z (fractional)
1 Rb 0.7967 0.9687 0.7803
2 Rb 0.2033 0.9687 0.2803
3 Ga 0.3667 0.9150 0.8726
4 Ga 0.1400 0.3561 0.4801
5 Ga 0.6333 0.9150 0.3726
6 Ga 0.8600 0.3561 0.9801
7 P 0.5838 0.1022 0.0392
8 P 0.4162 0.1022 0.5392
9 P 0.8636 0.5994 0.3840
10 P 0.8761 0.2617 0.3109
11 P 0.1239 0.2617 0.8109
12 P 0.2943 0.5566 0.1383
13 P 0.1364 0.5994 0.8840
14 P 0.4571 0.5019 0.4996
15 P 0.7057 0.5566 0.6383
16 P 0.5429 0.5019 0.9996
17 O 0.4547 0.4739 0.1416
18 O 0.5046 0.3121 0.9711
19 O 0.2308 0.4586 0.2786
20 O 0.2555 0.1320 0.5170
21 O 0.7010 0.5050 0.0285
22 O 0.9359 0.2753 0.1700
23 O 0.4797 0.6715 0.8844
24 O 0.2153 0.4785 0.0298
25 O 0.9925 0.2101 0.4229
26 O 0.1964 0.7990 0.8173
27 O 0.7692 0.4586 0.7786
28 O 0.5316 0.9890 0.9536
29 O 0.2990 0.5050 0.5285
30 O 0.7430 0.1402 0.3593
31 O 0.7056 0.7738 0.5756
32 O 0.0236 0.5944 0.4118
33 O 0.5398 0.0240 0.1919
34 O 0.0641 0.2753 0.6700
35 O 0.8036 0.7990 0.3173
36 O 0.7445 0.1320 0.0170
37 O 0.0075 0.2101 0.9229
38 O 0.5453 0.4739 0.6416
39 O 0.8242 0.4811 0.2905
40 O 0.4684 0.9890 0.4536
41 O 0.5203 0.6715 0.3844
42 O 0.2944 0.7738 0.0756
43 O 0.2570 0.1402 0.8593
44 O 0.4602 0.0240 0.6919
45 O 0.9764 0.5944 0.9118
46 O 0.4954 0.3121 0.4711
47 O 0.1758 0.4811 0.7905
48 O 0.7847 0.4785 0.5298


No. 3
A plane-wave DFT calculation with GGA-PBE was carried out for RbGaPO2 after structural relaxation.

energy above the lowest structure with this stoichiometry: 0 meV/atom
space group: P4/mmm
calculated volume: 17.3 Å³ per atom
E_form (uncorrected): -0.194 eV per atom
D(E_F): 0.816 states/eV/atom
total magnetic moment: 2.645 μB/f.u.

Cell: 4.2360 4.2360 4.8246 Å, 90.00 90.00 90.00°
Site moments in Bohr magnetons follow the coordinates.
Element x y z (fractional)
1 O 0.0000 0.5000 0.0000  0.46
2 O 0.5000 0.0000 0.0000  0.46
3 P 0.0000 0.0000 0.5000  0.71
4 Ga 0.0000 0.0000 0.0000  -0.02
5 Rb 0.5000 0.5000 0.5000  0.07


No. 4
A plane-wave DFT calculation with GGA-PBE was carried out for GaReP2O after structural relaxation.

energy above the lowest structure with this stoichiometry: 0 meV/atom
space group: P4/mmm
calculated volume: 17.2 Å³ per atom
E_form (uncorrected): -0.096 eV per atom
D(E_F): 0.551 states/eV/atom
total magnetic moment: 0.000 μB/f.u.

Cell: 4.7953 4.7953 3.7351 Å, 90.00 90.00 90.00°
Element x y z (fractional)
1 Re 0.0000 0.0000 0.0000
2 O 0.0000 0.0000 0.5000
3 Ga 0.5000 0.5000 0.5000
4 P 0.0000 0.5000 0.0000
5 P 0.5000 0.0000 0.0000